{
  "formula": "CdRuIN2",
  "functional": "GGA-PBE",
  "state": "relaxed",
  "e_form_raw_ev_per_atom": 2.1928,
  "final_energy_ev_per_atom": -3.4856,
  "magnetic_moment_mub_per_cell": 5.810,
  "dos_at_fermi_per_ev_fu": 7.59,
  "de_polymorph_ev_per_atom": 1.279,
  "cell": [[4.176, 0.000, 0.000], [0.000, 4.176, 0.000], [0.000, 0.000, 6.668]],
  "species": ["Cd", "Ru", "I", "N", "N"],
  "frac_coords": [[0.000, 0.000, 0.000], [0.500, 0.500, 0.500], [0.000, 0.000, 0.500], [0.000, 0.500, 0.000], [0.500, 0.000, 0.000]]
}

{
  "formula": "Pr2Al4AgPd3",
  "functional": "GGA-PBE",
  "state": "relaxed",
  "final_energy_ev_per_atom": -5.0220,
  "magnetic_moment_mub_per_cell": 0.000,
  "dos_at_fermi_per_ev_fu": 8.73,
  "e_form_ev_per_atom": -0.726,
  "cell": [[4.339, 0.000, 0.000], [0.000, 4.339, 0.000], [0.000, 0.000, 10.623]],
  "species": ["Pr", "Pr", "Al", "Al", "Al", "Al", "Ag", "Pd", "Pd", "Pd"],
  "frac_coords": [[0.000, 0.500, 0.243], [0.500, 0.000, 0.757], [0.000, 0.000, 0.000], [0.000, 0.500, 0.634], [0.500, 0.000, 0.366], [0.500, 0.500, 0.000], [0.000, 0.000, 0.500], [0.000, 0.500, 0.871], [0.500, 0.000, 0.129], [0.500, 0.500, 0.500]]
}

{
  "formula": "BaCd2Mo",
  "functional": "GGA-PBE",
  "state": "relaxed",
  "final_energy_ev_per_atom": -3.0943,
  "magnetic_moment_mub_per_cell": 1.338,
  "dos_at_fermi_per_ev_fu": 3.17,
  "de_polymorph_ev_per_atom": 0.094,
  "e_form_ev_per_atom": 0.552,
  "cell": [[3.161, 0.000, 0.000], [0.000, 4.743, 0.000], [-0.005, 0.000, 7.149]],
  "species": ["Ba", "Cd", "Cd", "Mo"],
  "frac_coords": [[0.000, 0.000, 0.000], [0.498, 0.000, 0.439], [0.499, 0.500, 0.696], [0.998, 0.500, 0.355]]
}

{
  "formula": "Ce2SbTe3",
  "functional": "GGA-PBE",
  "state": "relaxed",
  "e_form_raw_ev_per_atom": -1.1749,
  "final_energy_ev_per_atom": -5.4107,
  "magnetic_moment_mub_per_cell": 1.569,
  "dos_at_fermi_per_ev_fu": 13.65,
  "cell": [[4.442, 0.000, 0.000], [0.000, 4.442, 0.000], [0.000, 0.000, 9.166]],
  "species": ["Ce", "Ce", "Sb", "Te", "Te", "Te"],
  "frac_coords": [[0.000, 0.500, 0.227], [0.500, 0.000, 0.773], [0.000, 0.000, 0.500], [0.000, 0.500, 0.867], [0.500, 0.000, 0.133], [0.500, 0.500, 0.500]]
}

{
  "formula": "K2Rb3Au3",
  "functional": "GGA-PBE",
  "state": "relaxed",
  "final_energy_ev_per_atom": -2.0884,
  "magnetic_moment_mub_per_cell": 0.000,
  "dos_at_fermi_per_ev_fu": 2.74,
  "de_polymorph_ev_per_atom": 0.004,
  "e_form_ev_per_atom": -0.222,
  "cell": [[-2.111, 2.956, 14.251], [2.111, -2.956, 14.251], [2.111, 2.956, -14.251]],
  "species": ["K", "K", "Rb", "Rb", "Rb", "Au", "Au", "Au"],
  "frac_coords": [[0.201, 0.201, 0.000], [0.799, 0.799, 0.000], [0.000, 0.000, 0.000], [0.400, 0.900, 0.500], [0.600, 0.100, 0.500], [0.108, 0.608, 0.500], [0.500, 0.500, 0.000], [0.892, 0.392, 0.500]]
}

{
  "formula": "SrPt",
  "functional": "GGA-PBE",
  "state": "relaxed",
  "final_energy_ev_per_atom": -4.3145,
  "magnetic_moment_mub_per_cell": 0.000,
  "dos_at_fermi_per_ev_fu": 1.10,
  "e_form_ev_per_atom": -0.453,
  "cell": [[0.000, 4.615, 7.839], [2.840, 0.000, 7.839], [2.840, 4.615, 0.000]],
  "species": ["Sr", "Sr", "Sr", "Sr", "Pt", "Pt", "Pt", "Pt"],
  "frac_coords": [[0.046, 0.704, 0.046], [0.296, 0.954, 0.296], [0.704, 0.046, 0.704], [0.954, 0.296, 0.954], [0.290, 0.290, 0.460], [0.460, 0.460, 0.290], [0.540, 0.540, 0.710], [0.710, 0.710, 0.540]]
}

{
  "formula": "NaSr2TlN",
  "functional": "GGA-PBE",
  "state": "relaxed",
  "e_form_raw_ev_per_atom": -0.2334,
  "final_energy_ev_per_atom": -3.3082,
  "magnetic_moment_mub_per_cell": 0.000,
  "dos_at_fermi_per_ev_fu": 3.81,
  "cell": [[5.248, 0.000, 0.000], [0.000, 5.248, 0.000], [0.000, 0.000, 5.113]],
  "species": ["Na", "Sr", "Sr", "Tl", "N"],
  "frac_coords": [[0.000, 0.000, 0.000], [0.000, 0.500, 0.500], [0.500, 0.000, 0.500], [0.500, 0.500, 0.000], [0.000, 0.000, 0.500]]
}

{
  "formula": "VCrRu3",
  "functional": "GGA-PBE",
  "state": "relaxed",
  "final_energy_ev_per_atom": -8.1729,
  "magnetic_moment_mub_per_cell": 1.086,
  "dos_at_fermi_per_ev_fu": 6.48,
  "de_polymorph_ev_per_atom": 1.116,
  "e_form_ev_per_atom": 1.141,
  "cell": [[4.389, 0.000, 0.000], [0.000, 4.389, 0.000], [0.000, 0.000, 4.389]],
  "species": ["V", "Cr", "Ru", "Ru", "Ru"],
  "frac_coords": [[0.000, 0.000, 0.000], [0.500, 0.500, 0.500], [0.000, 0.500, 0.500], [0.500, 0.000, 0.500], [0.500, 0.500, 0.000]]
}

{
  "formula": "PuNpFeNi",
  "functional": "GGA-PBE",
  "state": "relaxed",
  "final_energy_ev_per_atom": -10.4595,
  "magnetic_moment_mub_per_cell": 2.141,
  "dos_at_fermi_per_ev_fu": 8.47,
  "e_form_ev_per_atom": -0.080,
  "cell": [[0.000, 3.056, 3.056], [3.056, 0.000, 3.056], [3.056, 3.056, 0.000]],
  "species": ["Pu", "Np", "Fe", "Ni"],
  "frac_coords": [[0.000, 0.000, 0.000], [0.250, 0.250, 0.250], [0.500, 0.500, 0.500], [0.750, 0.750, 0.750]]
}

{
  "formula": "CaCuAsSe2",
  "functional": "GGA-PBE",
  "state": "relaxed",
  "e_form_raw_ev_per_atom": 0.6350,
  "final_energy_ev_per_atom": -2.9083,
  "magnetic_moment_mub_per_cell": 0.000,
  "dos_at_fermi_per_ev_fu": 5.73,
  "de_polymorph_ev_per_atom": 0.969,
  "cell": [[5.380, 0.000, 0.000], [0.000, 5.380, 0.000], [0.000, 0.000, 5.400]],
  "species": ["Ca", "Cu", "As", "Se", "Se"],
  "frac_coords": [[0.000, 0.000, 0.000], [0.500, 0.500, 0.500], [0.000, 0.000, 0.500], [0.000, 0.500, 0.000], [0.500, 0.000, 0.000]]
}

{
  "formula": "Ac12GaNi5",
  "functional": "GGA-PBE",
  "state": "relaxed",
  "final_energy_ev_per_atom": -4.6971,
  "magnetic_moment_mub_per_cell": 0.000,
  "dos_at_fermi_per_ev_fu": 16.19,
  "e_form_ev_per_atom": -0.184,
  "cell": [[-5.128, 5.300, 5.433], [5.128, -5.300, 5.433], [5.128, 5.300, -5.433]],
  "species": ["Ac", "Ac", "Ac", "Ac", "Ac", "Ac", "Ac", "Ac", "Ac", "Ac", "Ac", "Ac", "Ga", "Ni", "Ni", "Ni", "Ni", "Ni"],
  "frac_coords": [[0.017, 0.202, 0.816], [0.181, 0.308, 0.489], [0.181, 0.692, 0.873], [0.326, 0.015, 0.689], [0.326, 0.637, 0.311], [0.386, 0.202, 0.184], [0.614, 0.798, 0.816], [0.674, 0.363, 0.689], [0.674, 0.985, 0.311], [0.819, 0.308, 0.127], [0.819, 0.692, 0.511], [0.983, 0.798, 0.184], [0.500, 0.500, 0.000], [0.000, 0.000, 0.000], [0.121, 0.621, 0.500], [0.372, 0.000, 0.372], [0.628, 0.000, 0.628], [0.879, 0.379, 0.500]]
}

{
  "formula": "Ho2Zr2Sb2H",
  "functional": "GGA-PBE",
  "state": "relaxed",
  "final_energy_ev_per_atom": -6.2154,
  "magnetic_moment_mub_per_cell": 0.000,
  "dos_at_fermi_per_ev_fu": 5.39,
  "cell": [[-2.149, 2.149, 8.215], [2.149, -2.149, 8.215], [2.149, 2.149, -8.215]],
  "species": ["Ho", "Ho", "Zr", "Zr", "Sb", "Sb", "H"],
  "frac_coords": [[0.176, 0.176, 0.000], [0.824, 0.824, 0.000], [0.000, 0.500, 0.500], [0.500, 0.000, 0.500], [0.366, 0.366, 0.000], [0.634, 0.634, 0.000], [0.000, 0.000, 0.000]]
}

{
  "formula": "YWSe2",
  "functional": "GGA-PBE",
  "state": "relaxed",
  "e_form_raw_ev_per_atom": -0.2239,
  "final_energy_ev_per_atom": -6.8205,
  "magnetic_moment_mub_per_cell": 0.000,
  "dos_at_fermi_per_ev_fu": 4.41,
  "de_polymorph_ev_per_atom": 0.315,
  "cell": [[1.694, 0.978, 8.286], [-1.694, 0.978, 8.286], [0.000, -1.957, 8.286]],
  "species": ["Y", "W", "Se", "Se"],
  "frac_coords": [[0.000, 0.000, 0.000], [0.500, 0.500, 0.500], [0.237, 0.237, 0.237], [0.763, 0.763, 0.763]]
}

{
  "formula": "CdAs3",
  "functional": "GGA-PBE",
  "state": "relaxed",
  "final_energy_ev_per_atom": -3.6049,
  "magnetic_moment_mub_per_cell": 0.000,
  "dos_at_fermi_per_ev_fu": 2.24,
  "de_polymorph_ev_per_atom": 0.138,
  "e_form_ev_per_atom": 0.111,
  "cell": [[-1.441, 3.867, 4.062], [1.441, -3.867, 4.062], [1.441, 3.867, -4.062]],
  "species": ["Cd", "As", "As", "As"],
  "frac_coords": [[0.000, 0.000, 0.000], [0.036, 0.765, 0.272], [0.476, 0.976, 0.500], [0.493, 0.765, 0.728]]
}

{
  "formula": "CaNdSi",
  "functional": "GGA-PBE",
  "state": "relaxed",
  "e_form_raw_ev_per_atom": -0.3712,
  "final_energy_ev_per_atom": -4.4353,
  "magnetic_moment_mub_per_cell": 0.679,
  "dos_at_fermi_per_ev_fu": 2.87,
  "cell": [[5.708, -2.217, 0.000], [5.708, 2.217, 0.000], [-4.492, 0.000, 6.760]],
  "species": ["Ca", "Ca", "Nd", "Nd", "Si", "Si"],
  "frac_coords": [[0.000, 0.000, 0.000], [0.596, 0.596, 0.731], [0.366, 0.366, 0.176], [0.760, 0.760, 0.453], [0.054, 0.054, 0.435], [0.297, 0.297, 0.741]]
}

{
  "formula": "SrGe2P2Pt7",
  "functional": "GGA-PBE",
  "state": "relaxed",
  "final_energy_ev_per_atom": -5.7350,
  "magnetic_moment_mub_per_cell": 0.000,
  "dos_at_fermi_per_ev_fu": 4.04,
  "e_form_ev_per_atom": -0.400,
  "cell": [[2.810, -2.802, 0.000], [2.810, 2.802, 0.000], [-1.599, 0.000, 14.394]],
  "species": ["Sr", "Ge", "Ge", "P", "P", "Pt", "Pt", "Pt", "Pt", "Pt", "Pt", "Pt"],
  "frac_coords": [[0.000, 0.000, 0.000], [0.144, 0.144, 0.427], [0.856, 0.856, 0.573], [0.425, 0.425, 0.748], [0.575, 0.575, 0.252], [0.050, 0.549, 0.165], [0.413, 0.413, 0.588], [0.451, 0.950, 0.835], [0.500, 0.500, 0.000], [0.549, 0.050, 0.165], [0.587, 0.587, 0.412], [0.950, 0.451, 0.835]]
}

{
  "formula": "KCd2Hg4Bi",
  "functional": "GGA-PBE",
  "state": "relaxed",
  "final_energy_ev_per_atom": -1.0747,
  "magnetic_moment_mub_per_cell": 0.000,
  "dos_at_fermi_per_ev_fu": 3.29,
  "e_form_ev_per_atom": -0.073,
  "cell": [[5.540, 0.000, 0.000], [0.000, 5.540, 0.000], [0.000, 0.000, 8.186]],
  "species": ["K", "Cd", "Cd", "Hg", "Hg", "Hg", "Hg", "Bi"],
  "frac_coords": [[0.000, 0.000, 0.000], [0.500, 0.500, 0.178], [0.500, 0.500, 0.822], [0.000, 0.500, 0.300], [0.000, 0.500, 0.700], [0.500, 0.000, 0.300], [0.500, 0.000, 0.700], [0.000, 0.000, 0.500]]
}

{
  "formula": "AuSe2IN",
  "functional": "GGA-PBE",
  "state": "relaxed",
  "e_form_raw_ev_per_atom": 1.0865,
  "final_energy_ev_per_atom": -2.9379,
  "magnetic_moment_mub_per_cell": 1.751,
  "dos_at_fermi_per_ev_fu": 3.18,
  "de_polymorph_ev_per_atom": 0.000,
  "cell": [[5.380, 0.000, 0.000], [0.000, 5.380, 0.000], [0.000, 0.000, 3.959]],
  "species": ["Au", "Se", "Se", "I", "N"],
  "frac_coords": [[0.000, 0.000, 0.000], [0.000, 0.500, 0.000], [0.500, 0.000, 0.000], [0.500, 0.500, 0.500], [0.000, 0.000, 0.500]]
}

{
  "formula": "Ti6CoAg",
  "functional": "GGA-PBE",
  "state": "relaxed",
  "final_energy_ev_per_atom": -6.9622,
  "magnetic_moment_mub_per_cell": 0.000,
  "dos_at_fermi_per_ev_fu": 8.29,
  "e_form_ev_per_atom": 0.204,
  "cell": [[4.468, 2.580, 1.957], [-4.468, 2.580, 1.957], [0.000, -5.160, 1.957]],
  "species": ["Ti", "Ti", "Ti", "Ti", "Ti", "Ti", "Co", "Ag"],
  "frac_coords": [[0.230, 0.230, 0.667], [0.230, 0.667, 0.230], [0.333, 0.770, 0.770], [0.667, 0.230, 0.230], [0.770, 0.333, 0.770], [0.770, 0.770, 0.333], [0.500, 0.500, 0.500], [0.000, 0.000, 0.000]]
}

{
  "formula": "NaLiCuSi",
  "functional": "GGA-PBE",
  "state": "relaxed",
  "e_form_raw_ev_per_atom": 0.0142,
  "final_energy_ev_per_atom": -3.1738,
  "magnetic_moment_mub_per_cell": 0.000,
  "dos_at_fermi_per_ev_fu": 2.15,
  "cell": [[0.000, 3.112, 3.112], [3.112, 0.000, 3.112], [3.112, 3.112, 0.000]],
  "species": ["Na", "Li", "Cu", "Si"],
  "frac_coords": [[0.000, 0.000, 0.000], [0.250, 0.250, 0.250], [0.750, 0.750, 0.750], [0.500, 0.500, 0.500]]
}